[1]
## K2Rb2I2O (PBE)

Data for K2Rb2I2O after structural relaxation.

```
data_K2Rb2I2O
_chemical_formula_sum 'K4 Rb4 I4 O2'
_cell_length_a 4.502
_cell_length_b 7.663
_cell_length_c 15.498
_cell_angle_alpha 90.00
_cell_angle_beta 90.00
_cell_angle_gamma 90.00
_space_group_name_H-M_alt 'I m m m'
_space_group_IT_number 71
_space_group_name_Hall '-I 2 2'
loop_
_atom_site_label
_atom_site_type_symbol
_atom_site_fract_x
_atom_site_fract_y
_atom_site_fract_z
K1 K 0.000 0.000 0.166
Rb1 Rb 0.000 0.259 0.500
I1 I 0.000 0.500 0.161
O1 O 0.000 0.000 0.000
```

Computed properties:
Total magnetization (μB per cell): 0.2
ρ (g/cm3): 3.22
E_form (uncorrected) (meV per atom): -1259.4
VASP energy (eV per cell): -42.01

[2]
## PrDy4Rh4 (PBE)

Data for PrDy4Rh4 after structural relaxation.

```
data_PrDy4Rh4
_chemical_formula_sum 'Pr2 Dy8 Rh8'
_cell_length_a 8.927
_cell_length_b 8.927
_cell_length_c 5.616
_cell_angle_alpha 90.00
_cell_angle_beta 90.00
_cell_angle_gamma 90.00
_space_group_name_H-M_alt 'P 42/n'
_space_group_IT_number 86
loop_
_space_group_symop_operation_xyz
'x,y,z'
'-x,-y,-z'
'-y,x+1/2,z+1/2'
'y,-x+1/2,-z+1/2'
'-x+1/2,-y+1/2,z'
'x+1/2,y+1/2,-z'
'y+1/2,-x,z+1/2'
'-y+1/2,x,-z+1/2'
loop_
_atom_site_label
_atom_site_type_symbol
_atom_site_fract_x
_atom_site_fract_y
_atom_site_fract_z
Pr1 Pr 0.250 0.250 0.250
Dy1 Dy 0.075 0.657 0.167
Rh1 Rh 0.038 0.621 0.664
```

Computed properties:
Total magnetization (μB per cell): 0.0
ρ (g/cm3): 8.92
VASP energy (eV per cell): -116.78
DOS(E_F) (states/eV/f.u.): 6.033

Q: What is the ρ in the second record?
A: 8.92 g/cm3

Please write out number 1 again, unchanged.
## K2Rb2I2O (PBE)

Data for K2Rb2I2O after structural relaxation.

```
data_K2Rb2I2O
_chemical_formula_sum 'K4 Rb4 I4 O2'
_cell_length_a 4.502
_cell_length_b 7.663
_cell_length_c 15.498
_cell_angle_alpha 90.00
_cell_angle_beta 90.00
_cell_angle_gamma 90.00
_space_group_name_H-M_alt 'I m m m'
_space_group_IT_number 71
_space_group_name_Hall '-I 2 2'
loop_
_atom_site_label
_atom_site_type_symbol
_atom_site_fract_x
_atom_site_fract_y
_atom_site_fract_z
K1 K 0.000 0.000 0.166
Rb1 Rb 0.000 0.259 0.500
I1 I 0.000 0.500 0.161
O1 O 0.000 0.000 0.000
```

Computed properties:
Total magnetization (μB per cell): 0.2
ρ (g/cm3): 3.22
E_form (uncorrected) (meV per atom): -1259.4
VASP energy (eV per cell): -42.01